The following is a GGA-PBE calculation of crystalline Na2Pd2Au at its relaxed geometry, from Alexandria.

Total moment = 0.00 μB/atom
SG = No. 127
ΔE_f = 0.1125 eV/atom
Total DFT energy (no corrections) = -0.2314 Ry/atom
ΔE to the lowest computed polymorph = 262 meV/atom

Lattice parameters (Å, degrees): 7.9803 7.9803 2.8679 90.00 90.00 90.00
Closest atoms and distances in Å follow each position.
Atoms (fractional coordinates):
Au 0.5000 0.5000 0.0000  2 Au 2.87, 4 Na 3.16
Au 0.0000 0.0000 0.0000  2 Au 2.87, 4 Na 3.16
Na 0.8759 0.6241 0.0000  6 Pd 2.66-2.84, 3 Na 2.80-2.87
Na 0.3759 0.8759 0.0000  6 Pd 2.66-2.84, 3 Na 2.80-2.87
Pd 0.8222 0.3222 0.5000  6 Na 2.66-2.84, 2 Pd 2.87
Pd 0.6778 0.8222 0.5000  6 Na 2.66-2.84, 2 Pd 2.87
Na 0.1241 0.3759 0.0000  6 Pd 2.66-2.84, 3 Na 2.80-2.87
Pd 0.3222 0.1778 0.5000  6 Na 2.66-2.84, 2 Pd 2.87
Na 0.6241 0.1241 0.0000  6 Pd 2.66-2.84, 3 Na 2.80-2.87
Pd 0.1778 0.6778 0.5000  6 Na 2.66-2.84, 2 Pd 2.87